{
  "formula": "Li3PrMg9",
  "functional": "PBE",
  "state": "optimized geometry",
  "crystal_system": "monoclinic",
  "space_group": "C2/m (12)",
  "ef_ev_per_atom": -0.067,
  "lattice": [[-5.170, 1.436, 1.279], [-4.388, -6.377, 0.888], [-0.870, 0.532, 7.781]],
  "species": ["Li", "Li", "Li", "Pr", "Mg", "Mg", "Mg", "Mg", "Mg", "Mg", "Mg", "Mg", "Mg"],
  "fractional_positions": [[0.500, 0.500, 0.000], [0.000, 0.000, 0.500], [0.500, 0.000, 0.500], [0.000, 0.000, 0.000], [0.707, 0.789, 0.783], [0.293, 0.211, 0.217], [0.509, 0.211, 0.783], [0.491, 0.789, 0.217], [0.649, 0.350, 0.356], [0.351, 0.650, 0.644], [0.996, 0.650, 0.356], [0.004, 0.350, 0.644], [0.000, 0.500, 0.000]]
}


{
  "formula": "CuTeIr2",
  "functional": "PBE",
  "state": "optimized geometry",
  "raw_formation_energy_ev_per_atom": 0.313,
  "crystal_system": "monoclinic",
  "space_group": "C2/m (12)",
  "lattice": [[4.636, -0.004, 0.007], [3.638, 2.873, 0.007], [0.849, 0.294, 4.801]],
  "species": ["Cu", "Ir", "Ir", "Te"],
  "fractional_positions": [[0.250, 0.250, 0.250], [0.998, 0.998, 0.012], [0.502, 0.502, 0.488], [0.750, 0.750, 0.750]]
}


no.,DOS at the Fermi energy (states/eV per cell)
1,6.480
2,2.679